SiHg2P (PBE, optimized geometry); size of the total moment = 0.000 μB per cell; DOS(E_F) = 0.41 states/eV/atom; SG = R-3m, No. 166; electronic total energy = -2.190 eV/atom; crystal system = trigonal; E above lowest polymorph = 651 meV/atom; E_form (uncorrected) = 2.68 eV per formula unit
1.0
10.699 -0.032 -0.019
10.292 2.922 -0.019
10.292 1.417 2.555
P Hg Si
1 2 1
Cartesian
23.462 3.230 1.888
15.538 2.139 1.251
0.104 0.014 0.008
7.821 1.077 0.629

SiHg2P (PBE, optimized geometry); size of the total moment = 0.000 μB per cell; DOS(E_F) = 0.59 states/eV/atom; SG = F-43m, No. 216; electronic total energy = -2.221 eV/atom; crystal system = cubic; E above lowest polymorph = 620 meV/atom; E_form (uncorrected) = 2.55 eV per formula unit
1.0
-4.041 1.933 -1.948
-3.857 0.969 2.837
-1.210 4.630 0.979
Si P Hg
1 1 2
Cartesian
-6.830 5.649 1.401
-4.554 3.766 0.934
0.000 0.000 0.000
-2.277 1.883 0.467

SiHgP4 (PBE, optimized geometry); size of the total moment = 0.000 μB per cell; DOS(E_F) = 0.91 states/eV/atom; SG = F-43m, No. 216; electronic total energy = -3.847 eV/atom; crystal system = cubic; E_form (uncorrected) = 4.29 eV per formula unit
1.0
0.000 4.011 4.011
4.011 0.000 4.011
4.011 4.011 0.000
P Si Hg
4 1 1
Cartesian
4.808 4.808 3.214
4.808 3.214 4.808
3.214 3.214 3.214
3.214 4.808 4.808
6.016 6.016 6.016
0.000 0.000 0.000

SiHgP (PBE, optimized geometry); size of the total moment = 0.000 μB per cell; DOS(E_F) = 0.23 states/eV/atom; SG = I4mm, No. 107; electronic total energy = -3.601 eV/atom; crystal system = tetragonal; E above lowest polymorph = 51 meV/atom; E_form (uncorrected) = 0.33 eV per formula unit
1.0
6.099 -0.014 0.000
4.299 4.326 0.000
-5.199 -2.156 2.349
P Hg Si
1 1 1
Cartesian
2.351 0.975 0.000
10.391 4.310 0.000
8.053 3.341 0.000

Si2TcHgP (PBE, optimized geometry); size of the total moment = 1.656 μB per cell; DOS(E_F) = 0.77 states/eV/atom; SG = P4/mmm, No. 123; electronic total energy = -4.528 eV/atom; crystal system = tetragonal; E_form (uncorrected) = 4.28 eV per formula unit
1.0
-2.624 3.681 -0.592
-0.999 -1.535 -5.121
-3.633 -2.362 1.417
Si Tc P Hg
2 1 1 1
Cartesian
-1.312 1.840 -0.296
-1.816 -1.181 0.708
0.000 0.000 0.000
-3.628 -0.108 -2.148
-0.499 -0.767 -2.560

Zn2SiHgP (PBE, optimized geometry); size of the total moment = 0.000 μB per cell; DOS(E_F) = 0.55 states/eV/atom; SG = P4/mmm, No. 123; electronic total energy = -2.280 eV/atom; crystal system = tetragonal; E_form (uncorrected) = 2.28 eV per formula unit
1.0
-1.532 3.327 -3.108
-3.049 -3.044 -1.756
-3.289 1.459 3.183
Zn Si Hg P
2 1 1 1
Cartesian
-0.766 1.664 -1.554
-1.645 0.729 1.591
0.000 0.000 0.000
-3.935 0.871 -0.841
-1.525 -1.522 -0.878